Entry from Alexandria via LeMat-Bulk: an optimized crystal structure of Na4BeCr3O8 (PBE+U).

Cell and atoms, written as POSCAR:
```
Na4BeCr3O8
1.0
-2.534 3.265 -4.300
-5.693 -2.298 1.610
3.217 2.615 4.226
O Cr Na Be
8 3 4 1
Cartesian
-3.574 1.859 -2.661
-2.688 3.334 2.073
-4.357 1.963 -0.078
-0.653 1.619 1.614
-1.962 3.292 -0.480
-1.436 1.722 4.197
-3.048 0.289 2.016
-2.322 0.247 -0.537
-2.505 1.791 0.768
-1.238 0.158 2.918
-4.113 0.483 -1.345
-1.267 1.632 -2.150
0.341 2.940 -0.037
1.608 1.307 2.113
0.000 0.000 0.000
-2.846 -1.149 0.805
```

symmetry	C2/m (12)
calculated total energy	-100.153	eV per cell
crystal system	monoclinic